{
  "formula": "Al2TlRe",
  "functional": "PBE",
  "state": "relaxed",
  "cell": [[3.158, 0.000, 0.000], [0.000, 3.158, 0.000], [0.000, 0.000, 7.724]],
  "species": ["Al", "Al", "Tl", "Re"],
  "fractional_positions": [[0.000, 0.000, 0.174], [0.000, 0.000, 0.826], [0.500, 0.500, 0.500], [0.500, 0.500, 0.000]],
  "formation_energy_ev_per_atom": 0.133,
  "space_group": "P4/mmm, No. 123",
  "polymorph_energy_kj_per_mol_atoms": 1.4,
  "energy_ev_per_cell": -21.77
}

=====

{
  "formula": "AlTl2Re",
  "functional": "PBE",
  "state": "relaxed",
  "cell": [[0.000, 3.435, 3.435], [3.435, 0.000, 3.435], [3.435, 3.435, 0.000]],
  "species": ["Al", "Tl", "Tl", "Re"],
  "fractional_positions": [[0.000, 0.000, 0.000], [0.250, 0.250, 0.250], [0.750, 0.750, 0.750], [0.500, 0.500, 0.500]],
  "formation_energy_ev_per_atom": 1.084,
  "space_group": "Fm-3m, No. 225",
  "polymorph_energy_kj_per_mol_atoms": 61.3,
  "energy_ev_per_cell": -16.59
}

=====

{
  "formula": "Al2TlRe",
  "functional": "PBE",
  "state": "relaxed",
  "cell": [[-1.710, 2.245, 4.450], [1.710, -2.245, 4.450], [1.710, 2.245, -4.450]],
  "species": ["Al", "Al", "Tl", "Re"],
  "fractional_positions": [[0.000, 0.000, 0.000], [0.747, 0.247, 0.500], [0.490, 0.490, 0.000], [0.226, 0.726, 0.500]],
  "formation_energy_ev_per_atom": 0.419,
  "space_group": "Imm2, No. 44",
  "polymorph_energy_kj_per_mol_atoms": 29.0,
  "energy_ev_per_cell": -20.62
}

=====

{
  "formula": "AlTlRe4",
  "functional": "PBE",
  "state": "relaxed",
  "cell": [[0.000, 3.724, 3.724], [3.724, 0.000, 3.724], [3.724, 3.724, 0.000]],
  "species": ["Al", "Tl", "Re", "Re", "Re", "Re"],
  "fractional_positions": [[0.000, 0.000, 0.000], [0.750, 0.750, 0.750], [0.375, 0.375, 0.375], [0.375, 0.375, 0.876], [0.375, 0.876, 0.375], [0.876, 0.375, 0.375]],
  "formation_energy_ev_per_atom": 0.666,
  "space_group": "F-43m, No. 216",
  "energy_ev_per_cell": -51.90
}

=====

{
  "formula": "Al2TlRe",
  "functional": "PBE",
  "state": "relaxed",
  "cell": [[3.183, 0.000, 0.000], [0.000, 3.116, 0.000], [-1.461, 0.000, 7.757]],
  "species": ["Al", "Al", "Tl", "Re"],
  "fractional_positions": [[0.079, 0.000, 0.175], [0.921, 0.000, 0.825], [0.500, 0.500, 0.500], [0.500, 0.500, 0.000]],
  "formation_energy_ev_per_atom": 0.119,
  "space_group": "P2/m, No. 10",
  "polymorph_energy_kj_per_mol_atoms": 0.0,
  "energy_ev_per_cell": -21.83
}

=====

{
  "formula": "Al2TlRe",
  "functional": "PBE",
  "state": "relaxed",
  "cell": [[1.544, -2.415, 0.000], [1.544, 2.415, 0.000], [0.000, 0.000, 10.246]],
  "species": ["Al", "Al", "Tl", "Re"],
  "fractional_positions": [[0.000, 0.000, 0.000], [0.500, 0.500, 0.230], [0.000, 0.000, 0.541], [0.500, 0.500, 0.800]],
  "formation_energy_ev_per_atom": 0.472,
  "space_group": "Cmm2, No. 35",
  "polymorph_energy_kj_per_mol_atoms": 34.1,
  "energy_ev_per_cell": -20.41
}